DyEr4Tm2 after structural relaxation, computed with PBE.

Cell and atoms, written as POSCAR:
```
DyEr4Tm2
1.0
6.0620 0.0000 0.0000
0.0000 6.4387 0.0000
-2.9271 0.0000 10.9579
Dy Er Tm
2 8 4
direct
0.0286 0.2500 0.3589
0.9714 0.7500 0.6411
0.1585 0.2500 0.6594
0.2897 0.7500 0.9277
0.3474 0.5037 0.2116
0.3474 0.9963 0.2116
0.6526 0.0037 0.7884
0.6526 0.4963 0.7884
0.7103 0.2500 0.0723
0.8415 0.7500 0.3406
0.1465 0.2500 0.9436
0.3941 0.7500 0.5035
0.6059 0.2500 0.4965
0.8535 0.7500 0.0564
```

Summary:
- symmetry = No. 11
- total magnetic moment (μB/f.u.) = 0.0
- ΔE to the lowest computed polymorph (eV/atom) = 0.105
- ΔH_f (0 K) (eV per atom) = 0.14